[1]
Tb12Er5Sc2 | Alexandria via LeMat-Bulk | PBE-GGA | optimized geometry; density of states at the Fermi level = 24.9 states/eV/f.u.; electronic total energy = -4.704 eV per atom; SG = P-1
1.0
6.283 -0.894 -0.568
-4.147 9.091 -2.064
-0.945 -1.483 11.609
Tb Er Sc
12 5 2
Direct
0.051 0.103 0.261
0.177 0.682 0.780
0.677 0.636 0.873
0.890 0.704 0.196
0.383 0.683 0.358
0.473 0.946 0.640
0.527 0.054 0.360
0.110 0.296 0.804
0.617 0.317 0.642
0.823 0.318 0.220
0.323 0.364 0.127
0.949 0.897 0.739
0.212 0.435 0.537
0.359 0.708 0.073
0.000 0.000 0.500
0.641 0.292 0.927
0.788 0.565 0.463
0.750 0.015 0.965
0.250 0.985 0.035

[2]
Tb12ErSc5 | Alexandria via LeMat-Bulk | PBE-GGA | optimized geometry; density of states at the Fermi level = 21.9 states/eV/f.u.; electronic total energy = -5.065 eV per atom; SG = C2/m
1.0
-5.993 0.590 0.555
-2.649 -0.949 5.352
-0.027 16.465 4.037
Tb Er Sc
12 1 5
Direct
0.887 0.000 0.338
0.113 0.000 0.662
0.719 0.000 0.835
0.281 0.000 0.165
0.392 0.664 0.835
0.945 0.664 0.165
0.055 0.336 0.835
0.608 0.336 0.165
0.446 0.333 0.661
0.780 0.667 0.661
0.220 0.333 0.339
0.554 0.667 0.339
0.000 0.000 0.000
0.500 0.000 0.500
0.166 0.667 0.500
0.834 0.333 0.500
0.667 0.666 0.000
0.333 0.334 0.000

[3]
Tb4Er8Sc3 | Alexandria via LeMat-Bulk | PBE-GGA | optimized geometry; density of states at the Fermi level = 29.6 states/eV/f.u.; electronic total energy = -4.545 eV per atom; SG = C2/m
1.0
-3.808 -3.370 -4.207
-2.210 -1.784 8.577
-3.202 8.338 1.367
Tb Er Sc
4 8 3
Direct
0.500 0.000 0.000
0.000 0.500 0.000
0.000 0.000 0.000
0.000 0.000 0.500
0.988 0.723 0.723
0.000 0.357 0.643
0.478 0.729 0.729
0.500 0.259 0.741
0.500 0.741 0.259
0.522 0.271 0.271
0.000 0.643 0.357
0.012 0.277 0.277
0.500 0.500 0.000
0.500 0.000 0.500
0.500 0.500 0.500

[4]
Tb12Er5Sc | Alexandria via LeMat-Bulk | PBE-GGA | optimized geometry; density of states at the Fermi level = 23.0 states/eV/f.u.; electronic total energy = -4.663 eV per atom; SG = C2/m
1.0
-5.693 -1.893 0.832
-1.669 -2.270 5.461
-4.528 15.857 5.216
Tb Er Sc
12 5 1
Direct
0.831 0.000 0.336
0.169 0.000 0.664
0.673 0.000 0.838
0.327 0.000 0.162
0.333 0.669 0.838
0.998 0.669 0.162
0.002 0.331 0.838
0.667 0.331 0.162
0.502 0.333 0.665
0.835 0.667 0.665
0.165 0.333 0.335
0.498 0.667 0.335
0.500 0.000 0.500
0.167 0.666 0.500
0.833 0.334 0.500
0.666 0.668 0.000
0.334 0.332 0.000
0.000 0.000 0.000

[5]
TbEr5Sc2 | Alexandria via LeMat-Bulk | PBE-GGA | optimized geometry; density of states at the Fermi level = 9.3 states/eV/f.u.; electronic total energy = -4.911 eV per atom; SG = I4/mcm
1.0
-7.081 -2.879 -4.161
0.999 -7.811 3.705
-0.494 7.153 4.992
Tb Er Sc
2 10 4
Direct
0.750 0.750 0.500
0.250 0.250 0.500
0.493 0.691 0.684
0.809 0.007 0.316
0.000 0.000 0.000
0.500 0.500 0.000
0.191 0.993 0.684
0.691 0.191 0.684
0.993 0.493 0.684
0.309 0.809 0.316
0.007 0.507 0.316
0.507 0.309 0.316
0.142 0.358 0.000
0.642 0.142 0.000
0.358 0.858 0.000
0.858 0.642 0.000

[6]
Tb2Er5Sc3 | Alexandria via LeMat-Bulk | PBE-GGA | optimized geometry; density of states at the Fermi level = 17.4 states/eV/f.u.; electronic total energy = -4.896 eV per atom; SG = C2/c
1.0
9.753 -1.920 -2.830
-3.202 8.272 -2.561
-0.982 -0.421 8.729
Tb Er Sc
4 10 6
Direct
0.956 0.999 0.760
0.044 0.001 0.240
0.304 0.760 0.760
0.696 0.240 0.240
0.253 0.503 0.006
0.747 0.497 0.994
0.964 0.714 0.428
0.498 0.248 0.497
0.036 0.286 0.572
0.502 0.752 0.503
0.925 0.597 0.747
0.075 0.403 0.253
0.322 0.150 0.747
0.678 0.850 0.253
0.275 0.025 0.049
0.725 0.975 0.951
0.540 0.457 0.237
0.460 0.543 0.763
0.197 0.780 0.237
0.803 0.220 0.763

[7]
Tb4ErSc4 | Alexandria via LeMat-Bulk | PBE-GGA | optimized geometry; density of states at the Fermi level = 14.0 states/eV/f.u.; electronic total energy = -5.327 eV per atom; SG = I4/mmm
1.0
4.830 0.000 0.000
2.415 7.260 0.000
2.415 0.000 7.260
Tb Er Sc
4 1 4
Direct
0.672 0.328 0.328
0.328 0.672 0.672
0.000 0.672 0.328
0.000 0.328 0.672
0.000 0.000 0.000
0.666 0.668 0.000
0.334 0.332 0.000
0.666 0.000 0.668
0.334 0.000 0.332

[8]
TbEr4Sc15 | Alexandria via LeMat-Bulk | PBE-GGA | optimized geometry; density of states at the Fermi level = 38.7 states/eV/f.u.; electronic total energy = -5.837 eV per atom; SG = P4/mmm
1.0
-0.263 -0.353 4.678
0.405 -4.670 -0.329
23.399 1.928 1.461
Tb Er Sc
1 4 15
Direct
0.000 0.000 0.000
0.000 0.000 0.201
0.000 0.000 0.400
0.000 0.000 0.600
0.000 0.000 0.799
0.500 0.500 0.000
0.500 0.500 0.201
0.500 0.500 0.400
0.500 0.500 0.600
0.500 0.500 0.799
0.500 0.000 0.101
0.500 0.000 0.301
0.500 0.000 0.500
0.500 0.000 0.699
0.500 0.000 0.899
0.000 0.500 0.101
0.000 0.500 0.301
0.000 0.500 0.500
0.000 0.500 0.699
0.000 0.500 0.899

[9]
Tb3Er2Sc2 | Alexandria via LeMat-Bulk | PBE-GGA | optimized geometry; density of states at the Fermi level = 11.9 states/eV/f.u.; electronic total energy = -4.970 eV per atom; SG = C2/m
1.0
-2.788 0.617 -1.850
2.451 -5.625 -5.569
-3.439 -2.796 7.379
Tb Er Sc
3 2 2
Direct
0.000 0.500 0.000
0.212 0.803 0.425
0.788 0.197 0.575
0.859 0.686 0.718
0.141 0.314 0.282
0.564 0.911 0.129
0.436 0.089 0.871

[10]
Tb7Er12Sc | Alexandria via LeMat-Bulk | PBE-GGA | optimized geometry; density of states at the Fermi level = 26.4 states/eV/f.u.; electronic total energy = -4.355 eV per atom; SG = R-3
1.0
-3.720 1.085 5.340
9.131 5.325 2.562
-0.662 10.856 0.051
Tb Er Sc
7 12 1
Direct
0.806 0.165 0.135
0.059 0.865 0.300
0.359 0.300 0.835
0.500 0.000 0.000
0.641 0.700 0.165
0.941 0.135 0.700
0.194 0.835 0.865
0.735 0.480 0.064
0.201 0.936 0.544
0.296 0.212 0.213
0.491 0.787 0.425
0.746 0.544 0.520
0.916 0.425 0.788
0.084 0.575 0.212
0.254 0.456 0.480
0.509 0.213 0.575
0.704 0.788 0.787
0.799 0.064 0.456
0.265 0.520 0.936
0.000 0.000 0.000

[11]
Tb3Er6Sc2 | Alexandria via LeMat-Bulk | PBE-GGA | optimized geometry; density of states at the Fermi level = 18.8 states/eV/f.u.; electronic total energy = -4.809 eV per atom; SG = R-3m
1.0
-3.645 -2.418 3.320
1.620 -3.974 3.426
1.694 6.490 11.128
Tb Er Sc
3 6 2
Direct
0.000 0.000 0.000
0.717 0.717 0.849
0.283 0.283 0.151
0.907 0.907 0.280
0.093 0.093 0.720
0.812 0.812 0.563
0.188 0.188 0.437
0.623 0.623 0.132
0.377 0.377 0.868
0.461 0.461 0.617
0.539 0.539 0.383

[12]
TbEr2Sc | Alexandria via LeMat-Bulk | PBE-GGA | optimized geometry; density of states at the Fermi level = 6.0 states/eV/f.u.; electronic total energy = -4.988 eV per atom; SG = R3m
1.0
-0.355 3.475 0.164
-3.132 1.464 -0.526
-3.328 0.912 10.737
Tb Er Sc
1 2 1
Direct
0.500 0.500 0.499
0.080 0.080 0.759
0.253 0.253 0.241
0.666 0.666 0.001

[13]
TbEr5Sc2 | Alexandria via LeMat-Bulk | PBE-GGA | optimized geometry; density of states at the Fermi level = 13.4 states/eV/f.u.; electronic total energy = -4.967 eV per atom; SG = Immm
1.0
-6.276 2.820 -0.470
1.665 -3.726 5.560
5.523 4.008 1.002
Tb Er Sc
1 5 2
Direct
0.778 0.778 0.000
0.278 0.278 0.500
0.278 0.778 0.000
0.778 0.278 0.000
0.778 0.778 0.500
0.278 0.278 0.000
0.278 0.778 0.500
0.778 0.278 0.500

[14]
Tb3Er2Sc3 | Alexandria via LeMat-Bulk | PBE-GGA | optimized geometry; density of states at the Fermi level = 12.2 states/eV/f.u.; electronic total energy = -5.204 eV per atom; SG = Immm
1.0
4.787 0.000 0.000
0.000 4.908 0.000
-2.394 -2.454 9.761
Tb Er Sc
3 2 3
Direct
0.622 0.622 0.244
0.378 0.378 0.756
0.500 0.000 0.000
0.749 0.249 0.497
0.251 0.751 0.503
0.124 0.124 0.249
0.000 0.500 0.000
0.876 0.876 0.751

[15]
TbEr7Sc2 | Alexandria via LeMat-Bulk | PBE-GGA | optimized geometry; density of states at the Fermi level = 14.6 states/eV/f.u.; electronic total energy = -4.250 eV per atom; SG = Cmmm
1.0
-0.255 1.266 5.362
-5.571 -6.556 1.283
8.559 -1.368 0.730
Tb Er Sc
1 7 2
Direct
0.000 0.000 0.000
0.000 0.763 0.237
0.000 0.237 0.763
0.500 0.061 0.300
0.500 0.939 0.700
0.500 0.300 0.061
0.500 0.700 0.939
0.500 0.500 0.500
0.500 0.705 0.295
0.500 0.295 0.705

[16]
Tb5Er2Sc2 | Alexandria via LeMat-Bulk | PBE-GGA | optimized geometry; density of states at the Fermi level = 12.9 states/eV/f.u.; electronic total energy = -4.955 eV per atom; SG = C2/m
1.0
4.699 0.000 1.429
1.297 8.119 4.177
0.231 1.222 7.682
Tb Er Sc
5 2 2
Direct
0.335 0.001 0.330
0.665 0.999 0.670
0.221 0.664 0.893
0.779 0.336 0.107
0.000 0.000 0.000
0.108 0.336 0.449
0.892 0.664 0.551
0.445 0.339 0.771
0.555 0.661 0.229

[17]
Tb2Er3Sc3 | Alexandria via LeMat-Bulk | PBE-GGA | optimized geometry; density of states at the Fermi level = 12.5 states/eV/f.u.; electronic total energy = -5.215 eV per atom; SG = C2/m
1.0
3.406 0.000 0.604
-0.272 5.736 1.542
-0.294 -0.095 11.577
Tb Er Sc
2 3 3
Direct
0.253 0.257 0.494
0.747 0.743 0.506
0.623 0.962 0.755
0.500 0.500 0.000
0.377 0.038 0.245
0.123 0.457 0.754
0.877 0.543 0.246
0.000 0.000 0.000

[18]
Tb8Er3Sc4 | Alexandria via LeMat-Bulk | PBE-GGA | optimized geometry; density of states at the Fermi level = 24.2 states/eV/f.u.; electronic total energy = -4.690 eV per atom; SG = C2/m
1.0
6.583 -0.226 -0.324
-3.392 8.324 1.613
-3.392 -1.377 8.366
Tb Er Sc
8 3 4
Direct
0.760 0.297 0.297
0.000 0.705 0.295
0.163 0.233 0.233
0.500 0.761 0.239
0.500 0.239 0.761
0.837 0.767 0.767
0.000 0.295 0.705
0.240 0.703 0.703
0.500 0.500 0.000
0.500 0.000 0.500
0.500 0.500 0.500
0.500 0.000 0.000
0.000 0.500 0.000
0.000 0.000 0.000
0.000 0.000 0.500

[19]
Tb3Er2Sc7 | Alexandria via LeMat-Bulk | PBE-GGA | optimized geometry; density of states at the Fermi level = 19.9 states/eV/f.u.; electronic total energy = -5.354 eV per atom; SG = P2/m
1.0
3.471 0.000 -0.454
0.000 5.275 0.000
0.715 0.000 18.971
Tb Er Sc
3 2 7
Direct
0.500 0.500 0.000
0.827 0.000 0.655
0.173 0.000 0.345
0.363 0.500 0.727
0.637 0.500 0.273
0.284 0.500 0.567
0.716 0.500 0.433
0.418 0.000 0.837
0.000 0.000 0.000
0.582 0.000 0.163
0.068 0.500 0.135
0.932 0.500 0.865